Entry from Alexandria: a relaxed BIr2Br crystal (PBE-GGA).

Properties
As for the calculated total energy: -5.1546 eV per atom. The formation energy (no corrections) comes out at 1.363 eV/atom. Its density of states at the Fermi level is 2.6 states/eV/f.u. The value obtained for the relative energy among the computed polymorphs is 804 meV/atom.

```
BIr2Br
1.0
6.0529 0.0000 0.0000
0.0000 6.0529 0.0000
0.0000 0.0000 6.0529
B Ir Br
4 8 4
Direct
0.0000 0.0000 0.0000
0.0000 0.5000 0.5000
0.5000 0.0000 0.5000
0.5000 0.5000 0.0000
0.2500 0.2500 0.2500
0.2500 0.2500 0.7500
0.2500 0.7500 0.2500
0.2500 0.7500 0.7500
0.7500 0.2500 0.2500
0.7500 0.2500 0.7500
0.7500 0.7500 0.2500
0.7500 0.7500 0.7500
0.0000 0.0000 0.5000
0.0000 0.5000 0.0000
0.5000 0.0000 0.0000
0.5000 0.5000 0.5000
```